No. 1
Compound: BHPbO2
Source: the Alexandria database
Functional: PBE
Structure: relaxed

Lattice parameters (Å, degrees): 3.660 4.128 3.660 90.00 90.00 90.00
Positions (direct):
Pb 0.000 0.500 0.000
H 0.000 0.000 0.000
B 0.500 0.500 0.500
O 0.000 0.000 0.500
O 0.500 0.000 0.000

- total DFT energy (no corrections) (eV per formula unit) = -17.95
- theoretical density (Mg/m³) = 7.5

=====

No. 2
Compound: Tc3BCl
Source: the Alexandria database
Functional: PBE
Structure: relaxed

Lattice parameters (Å, degrees): 4.182 4.182 4.182 90.00 90.00 90.00
Last column: magnetic moment on the atom in μB.
Positions (direct):
B 0.000 0.000 0.000  -0.02
Tc 0.000 0.500 0.000  0.28
Tc 0.000 0.000 0.500  0.26
Tc 0.500 0.000 0.000  0.36
Cl 0.500 0.500 0.500  0.00

- theoretical density (Mg/m³) = 7.7
- E_form (uncorrected) (eV/atom) = 0.941
- polymorph energy (0 for the lowest one) (eV/atom) = 0.000